Density functional theory data (PBE) for a relaxed structure of Mg2TlHg8.

Computed properties:
Symmetry ... C2/m
M_tot ... 0.0 μB per cell
E_tot ... -0.763 eV/atom
DFT formation energy ... -0.0381 eV/atom

Unit cell a=7.472 b=7.472 c=5.552 alpha=95.24 beta=95.24 gamma=107.44
Positions (direct):
Mg1 0.160 0.840 0.000
Mg2 0.840 0.160 0.000
Tl1 0.500 0.500 0.500
Hg1 0.152 0.152 0.350
Hg2 0.179 0.445 0.880
Hg3 0.232 0.768 0.500
Hg4 0.445 0.179 0.880
Hg5 0.555 0.821 0.120
Hg6 0.768 0.232 0.500
Hg7 0.821 0.555 0.120
Hg8 0.848 0.848 0.650

=====

Density functional theory data (PBE) for a relaxed structure of Pr2C3N6.

Computed properties:
Symmetry ... C2/m
M_tot ... 0.0 μB per cell
E_tot ... -8.666 eV/atom
Raw formation energy ... -740 meV per atom

Unit cell a=7.799 b=7.799 c=5.370 alpha=96.53 beta=96.53 gamma=29.97
Positions (direct):
Pr1 0.135 0.135 0.072
Pr2 0.865 0.865 0.928
C1 0.000 0.000 0.500
C2 0.328 0.328 0.406
C3 0.672 0.672 0.594
N1 0.010 0.010 0.731
N2 0.311 0.311 0.173
N3 0.342 0.342 0.635
N4 0.658 0.658 0.365
N5 0.689 0.689 0.827
N6 0.990 0.990 0.269

=====

Density functional theory data (PBE) for a relaxed structure of PaGaNi2H.

Computed properties:
Symmetry ... P4mm
M_tot ... 0.0 μB per cell
E_tot ... -5.672 eV/atom

Unit cell a=3.567 b=3.567 c=5.570 alpha=90.00 beta=90.00 gamma=90.00
Positions (direct):
Pa1 0.000 0.000 0.000
Ga1 0.500 0.500 0.308
Ni1 0.000 0.500 0.619
Ni2 0.500 0.000 0.619
H1 0.000 0.000 0.576

=====

Density functional theory data (PBE) for a relaxed structure of TaPRu2.

Computed properties:
Symmetry ... Imm2
M_tot ... 0.0 μB per cell
E_tot ... -9.300 eV/atom
DFT formation energy ... -0.3462 eV/atom

Unit cell a=2.975 b=4.394 c=8.791 alpha=90.00 beta=90.00 gamma=90.00
Positions (direct):
Ta1 0.000 0.000 0.000
Ta2 0.500 0.500 0.500
P1 0.000 0.500 0.265
P2 0.500 0.000 0.765
Ru1 0.000 0.000 0.559
Ru2 0.000 0.500 0.780
Ru3 0.500 0.000 0.280
Ru4 0.500 0.500 0.059

=====

Density functional theory data (PBE) for a relaxed structure of Th3C2F.

Computed properties:
Symmetry ... Cmcm
M_tot ... 0.0 μB per cell
E_tot ... -7.870 eV/atom
Raw formation energy ... -773 meV per atom

Unit cell a=6.579 b=6.579 c=10.906 alpha=90.00 beta=90.00 gamma=147.63
Positions (direct):
Th1 0.099 0.901 0.750
Th2 0.380 0.620 0.575
Th3 0.380 0.620 0.925
Th4 0.620 0.380 0.075
Th5 0.620 0.380 0.425
Th6 0.901 0.099 0.250
C1 0.000 0.000 0.000
C2 0.000 0.000 0.500
C3 0.484 0.516 0.750
C4 0.516 0.484 0.250
F1 0.235 0.765 0.250
F2 0.765 0.235 0.750

=====

Density functional theory data (PBE) for a relaxed structure of Er2Ga4Cu3Ag.

Computed properties:
Symmetry ... P-4m2
M_tot ... 0.0 μB per cell
E_tot ... -4.027 eV/atom
DFT formation energy ... -0.3899 eV/atom

Unit cell a=4.081 b=4.081 c=10.621 alpha=90.00 beta=90.00 gamma=90.00
Positions (direct):
Er1 0.000 0.500 0.240
Er2 0.500 0.000 0.760
Ga1 0.000 0.000 0.000
Ga2 0.000 0.500 0.646
Ga3 0.500 0.000 0.354
Ga4 0.500 0.500 0.000
Cu1 0.000 0.500 0.868
Cu2 0.500 0.000 0.132
Cu3 0.500 0.500 0.500
Ag1 0.000 0.000 0.500